VASP calculation (SCAN) on a crystal of SrWBr2 relaxed with PBEsol.

Its raw formation energy is 0.10 eV per atom. Its space group is No. 71. As for the total DFT energy (no corrections): -130.5 eV/cell. The calculation puts the density of states at the Fermi level at 2.70 states/eV/f.u. The energy above the lowest structure with this stoichiometry comes out at 89 meV per atom.

```
data_SrWBr2
_cell_length_a 3.4788
_cell_length_b 5.3203
_cell_length_c 6.5478
_cell_angle_alpha 113.97
_cell_angle_beta 105.41
_cell_angle_gamma 90.00
_space_group_name_H-M_alt 'P 1'
_space_group_IT_number 1
_space_group_name_Hall 'P 1'
loop_
_atom_site_label
_atom_site_fract_x
_atom_site_fract_y
_atom_site_fract_z
Sr1 0.5000 0.0000 0.0000
W1 0.0000 0.5000 0.0000
Br1 0.6645 0.6645 0.3291
Br2 0.3355 0.3355 0.6709
```

***

VASP calculation (SCAN) on a crystal of SrY2Br relaxed with PBEsol.

Its raw formation energy is 0.26 eV per atom. Its space group is No. 225. As for the total DFT energy (no corrections): -96.4 eV/cell. The calculation puts the density of states at the Fermi level at 3.91 states/eV/f.u. The energy above the lowest structure with this stoichiometry comes out at 717 meV per atom.

```
data_SrY2Br
_cell_length_a 5.6188
_cell_length_b 5.6188
_cell_length_c 5.6188
_cell_angle_alpha 60.00
_cell_angle_beta 60.00
_cell_angle_gamma 60.00
_space_group_name_H-M_alt 'P 1'
_space_group_IT_number 1
_space_group_name_Hall 'P 1'
loop_
_atom_site_label
_atom_site_fract_x
_atom_site_fract_y
_atom_site_fract_z
Y1 0.2500 0.2500 0.2500
Y2 0.7500 0.7500 0.7500
Sr1 0.5000 0.5000 0.5000
Br1 0.0000 0.0000 0.0000
```

***

VASP calculation (SCAN) on a crystal of SrY3Br relaxed with PBEsol.

Its raw formation energy is -0.23 eV per atom. Its space group is No. 221. As for the total DFT energy (no corrections): -126.4 eV/cell. The calculation puts the density of states at the Fermi level at 6.96 states/eV/f.u. The energy above the lowest structure with this stoichiometry comes out at 0 meV per atom.

```
data_SrY3Br
_cell_length_a 5.4763
_cell_length_b 5.4763
_cell_length_c 5.4763
_cell_angle_alpha 90.00
_cell_angle_beta 90.00
_cell_angle_gamma 90.00
_space_group_name_H-M_alt 'P 1'
_space_group_IT_number 1
_space_group_name_Hall 'P 1'
loop_
_atom_site_label
_atom_site_fract_x
_atom_site_fract_y
_atom_site_fract_z
Y1 0.0000 0.0000 0.5000
Y2 0.0000 0.5000 0.0000
Y3 0.5000 0.0000 0.0000
Sr1 0.5000 0.5000 0.5000
Br1 0.0000 0.0000 0.0000
```

***

VASP calculation (SCAN) on a crystal of SrY2Br relaxed with PBEsol.

Its raw formation energy is 0.02 eV per atom. Its space group is No. 123. As for the total DFT energy (no corrections): -97.3 eV/cell. The calculation puts the density of states at the Fermi level at 3.21 states/eV/f.u. The energy above the lowest structure with this stoichiometry comes out at 479 meV per atom.

```
data_SrY2Br
_cell_length_a 3.7114
_cell_length_b 5.8240
_cell_length_c 5.8240
_cell_angle_alpha 90.00
_cell_angle_beta 90.00
_cell_angle_gamma 90.00
_space_group_name_H-M_alt 'P 1'
_space_group_IT_number 1
_space_group_name_Hall 'P 1'
loop_
_atom_site_label
_atom_site_fract_x
_atom_site_fract_y
_atom_site_fract_z
Y1 0.0000 0.0000 0.5000
Y2 0.0000 0.5000 0.0000
Br1 0.5000 0.5000 0.5000
Sr1 0.5000 0.0000 0.0000
```

***

VASP calculation (SCAN) on a crystal of SrY3Br relaxed with PBEsol.

Its raw formation energy is 1.09 eV per atom. Its space group is No. 221. As for the total DFT energy (no corrections): -119.8 eV/cell. The calculation puts the density of states at the Fermi level at 5.56 states/eV/f.u. The energy above the lowest structure with this stoichiometry comes out at 1323 meV per atom.

```
data_SrY3Br
_cell_length_a 5.6583
_cell_length_b 5.6583
_cell_length_c 5.6583
_cell_angle_alpha 90.00
_cell_angle_beta 90.00
_cell_angle_gamma 90.00
_space_group_name_H-M_alt 'P 1'
_space_group_IT_number 1
_space_group_name_Hall 'P 1'
loop_
_atom_site_label
_atom_site_fract_x
_atom_site_fract_y
_atom_site_fract_z
Y1 0.0000 0.5000 0.0000
Y2 0.5000 0.0000 0.0000
Y3 0.0000 0.0000 0.5000
Br1 0.5000 0.5000 0.5000
Sr1 0.0000 0.0000 0.0000
```

***

VASP calculation (SCAN) on a crystal of SrY2Br relaxed with PBEsol.

Its raw formation energy is -0.46 eV per atom. Its space group is No. 166. As for the total DFT energy (no corrections): -99.3 eV/cell. The calculation puts the density of states at the Fermi level at 3.57 states/eV/f.u. The energy above the lowest structure with this stoichiometry comes out at 0 meV per atom.

```
data_SrY2Br
_cell_length_a 3.6793
_cell_length_b 3.6793
_cell_length_c 10.7451
_cell_angle_alpha 80.14
_cell_angle_beta 80.14
_cell_angle_gamma 60.00
_space_group_name_H-M_alt 'P 1'
_space_group_IT_number 1
_space_group_name_Hall 'P 1'
loop_
_atom_site_label
_atom_site_fract_x
_atom_site_fract_y
_atom_site_fract_z
Y1 0.7645 0.7645 0.7064
Y2 0.2355 0.2355 0.2936
Br1 0.5000 0.5000 0.5000
Sr1 0.0000 0.0000 0.0000
```

***

VASP calculation (SCAN) on a crystal of SrY2Br relaxed with PBEsol.

Its raw formation energy is -0.18 eV per atom. Its space group is No. 139. As for the total DFT energy (no corrections): -98.1 eV/cell. The calculation puts the density of states at the Fermi level at 4.35 states/eV/f.u. The energy above the lowest structure with this stoichiometry comes out at 285 meV per atom.

```
data_SrY2Br
_cell_length_a 4.4736
_cell_length_b 4.4736
_cell_length_c 7.6149
_cell_angle_alpha 107.08
_cell_angle_beta 107.08
_cell_angle_gamma 90.00
_space_group_name_H-M_alt 'P 1'
_space_group_IT_number 1
_space_group_name_Hall 'P 1'
loop_
_atom_site_label
_atom_site_fract_x
_atom_site_fract_y
_atom_site_fract_z
Br1 0.5000 0.5000 0.0000
Y1 0.7500 0.2500 0.5000
Y2 0.2500 0.7500 0.5000
Sr1 0.0000 0.0000 0.0000
```

***

VASP calculation (SCAN) on a crystal of SrY2Br relaxed with PBEsol.

Its raw formation energy is -0.08 eV per atom. Its space group is No. 65. As for the total DFT energy (no corrections): -97.7 eV/cell. The calculation puts the density of states at the Fermi level at 3.58 states/eV/f.u. The energy above the lowest structure with this stoichiometry comes out at 381 meV per atom.

```
data_SrY2Br
_cell_length_a 3.6640
_cell_length_b 6.5088
_cell_length_c 6.3556
_cell_angle_alpha 120.80
_cell_angle_beta 90.00
_cell_angle_gamma 90.00
_space_group_name_H-M_alt 'P 1'
_space_group_IT_number 1
_space_group_name_Hall 'P 1'
loop_
_atom_site_label
_atom_site_fract_x
_atom_site_fract_y
_atom_site_fract_z
Y1 0.0000 0.5000 0.5000
Y2 0.0000 0.0000 0.5000
Br1 0.5000 0.0000 0.0000
Sr1 0.5000 0.5000 0.0000
```

***

In Å³ per atom, the V values for the records above are, in order, 26.488; 31.358; 32.847; 31.472; 36.231; 30.872; 34.657; 32.549.